*one*
Compound: CaCe2Hg4
Source: the Alexandria database
Functional: PBE
Structure: relaxed

Properties
- N(E_F) (states/eV per cell) = 55.1
- magnetization (μB/f.u.) = 2.01

a b c (Å): 5.2584 5.2584 26.1845
angles (deg): 90.00 90.00 120.00
Space group R-3m (No. 166, hexagonal axes)
Unique sites:
Ca1 0.0000 0.0000 0.0000 x3
Ce1 0.0000 0.0000 0.2470 x6
Hg1 0.0000 0.0000 0.1259 x6
Hg2 0.0000 0.0000 0.3753 x6


*two*
Compound: CaCe2Hg4
Source: the Alexandria database
Functional: PBE
Structure: relaxed

Properties
- N(E_F) (states/eV per cell) = 36.0
- magnetization (μB/f.u.) = 2.96

a b c (Å): 5.684 5.684 15.732
angles (deg): 90.00 90.00 90.00
Space group I4/mmm (No. 139)
Unique sites:
Ca1 0.000 0.000 0.000 x2
Ce1 0.000 0.000 0.399 x4
Hg1 0.000 0.000 0.196 x4
Hg2 0.000 0.500 0.000 x4


Which structure wins on stability? *one* wins.


*one*
Compound: Ca2CeHg4
Source: the Alexandria database
Functional: PBE
Structure: relaxed

Properties
- N(E_F) (states/eV per cell) = 22.1
- magnetization (μB/f.u.) = 1.06

a b c (Å): 5.448 5.448 13.997
angles (deg): 90.00 90.00 90.00
Space group I4/mmm (No. 139)
Unique sites:
Ca1 0.000 0.000 0.234 x4
Ce1 0.000 0.000 0.500 x2
Hg1 0.000 0.500 0.118 x8


*two*
Compound: Ca2CeHg4
Source: the Alexandria database
Functional: PBE
Structure: relaxed

Properties
- N(E_F) (states/eV per cell) = 21.5
- magnetization (μB/f.u.) = 1.16

a b c (Å): 5.770 5.770 16.204
angles (deg): 90.00 90.00 90.00
Space group I4/mmm (No. 139)
Unique sites:
Ca1 0.000 0.000 0.107 x4
Ce1 0.000 0.000 0.500 x2
Hg1 0.000 0.000 0.305 x4
Hg2 0.000 0.500 0.000 x4


Which structure wins on stability? *one* wins.


*one*
Compound: CaCeI6
Source: the Alexandria database
Functional: PBE
Structure: relaxed

Properties
- magnetization (μB/f.u.) = 0.00

a b c (Å): 7.651 14.124 7.622
angles (deg): 90.00 108.10 90.00
Space group C2/m (No. 12)
Unique sites:
Ca1 0.000 0.000 0.000 x2
Ce1 0.000 0.500 0.500 x2
I1 0.241 0.349 0.746 x8
I2 0.246 0.500 0.260 x4


*two*
Compound: CaCeI6
Source: the Alexandria database
Functional: PBE
Structure: relaxed

Properties
- magnetization (μB/f.u.) = 0.00

a b c (Å): 7.7234 7.7234 21.1198
angles (deg): 90.00 90.00 120.00
Space group R-3 (No. 148, hexagonal axes)
Unique sites:
Ca1 0.0000 0.0000 0.0000 x3
Ce1 0.0000 0.0000 0.5000 x3
I1 0.9997 0.3222 0.5826 x18


Which structure wins on stability? *one* wins.


*one*
Compound: CaCeIn4
Source: the Alexandria database
Functional: PBE
Structure: relaxed

Properties
- N(E_F) (states/eV per cell) = 43.5
- magnetization (μB/f.u.) = 1.33

a b c (Å): 8.667 8.667 8.667
angles (deg): 90.00 90.00 90.00
Space group F-43m (No. 216)
Unique sites:
Ca1 0.000 0.000 0.000 x4
Ce1 0.250 0.250 0.750 x4
In1 0.125 0.125 0.375 x16


*two*
Compound: CaCeIn4
Source: the Alexandria database
Functional: PBE
Structure: relaxed

Properties
- N(E_F) (states/eV per cell) = 7.5
- magnetization (μB/f.u.) = 1.16

a b c (Å): 3.617 5.047 8.867
angles (deg): 90.00 90.02 90.00
Space group P2/m (No. 10)
Unique sites:
Ca1 0.000 0.000 0.000 x1
Ce1 0.000 0.500 0.500 x1
In1 0.497 0.000 0.334 x2
In2 0.497 0.500 0.834 x2


Which structure wins on stability? *two* wins.


*one*
Compound: Ca2CeIn
Source: the Alexandria database
Functional: PBE
Structure: relaxed

Properties
- N(E_F) (states/eV per cell) = 8.4
- magnetization (μB/f.u.) = 1.46

a b c (Å): 3.555 3.555 10.285
angles (deg): 90.00 90.00 90.00
Space group P4/mmm (No. 123)
Unique sites:
Ca1 0.000 0.000 0.214 x2
Ce1 0.500 0.500 0.500 x1
In1 0.500 0.500 0.000 x1


*two*
Compound: Ca2CeIn
Source: the Alexandria database
Functional: PBE
Structure: relaxed

Properties
- N(E_F) (states/eV per cell) = 24.0
- magnetization (μB/f.u.) = 1.36

a b c (Å): 3.5833 3.5833 38.1127
angles (deg): 90.00 90.00 120.00
Space group R-3m (No. 166, hexagonal axes)
Unique sites:
Ca1 0.0000 0.0000 0.0860 x6
Ce1 0.0000 0.0000 0.5000 x3
In1 0.0000 0.0000 0.0000 x3


*three*
Compound: Ca2CeIn
Source: the Alexandria database
Functional: PBE
Structure: relaxed

Properties
- N(E_F) (states/eV per cell) = 8.5
- magnetization (μB/f.u.) = 1.05

a b c (Å): 4.950 4.950 5.251
angles (deg): 90.00 90.00 90.00
Space group P4/mmm (No. 123)
Unique sites:
Ca1 0.000 0.500 0.000 x2
Ce1 0.000 0.000 0.500 x1
In1 0.500 0.500 0.500 x1


Which structure wins on stability? *three* wins.


*one*
Compound: CaLa2Ce
Source: the Alexandria database
Functional: PBE
Structure: relaxed

Properties
- N(E_F) (states/eV per cell) = 23.9
- magnetization (μB/f.u.) = 0.00

a b c (Å): 4.1334 4.1334 31.1566
angles (deg): 90.00 90.00 120.00
Space group R-3m (No. 166, hexagonal axes)
Unique sites:
Ca1 0.0000 0.0000 0.0000 x3
La1 0.0000 0.0000 0.1154 x6
Ce1 0.0000 0.0000 0.5000 x3


*two*
Compound: CaLa2Ce
Source: the Alexandria database
Functional: PBE
Structure: relaxed

Properties
- N(E_F) (states/eV per cell) = 22.3
- magnetization (μB/f.u.) = 0.00

a b c (Å): 4.2302 4.2302 27.2921
angles (deg): 90.00 90.00 120.00
Space group R3m (No. 160, hexagonal axes)
Unique sites:
Ca1 0.0000 0.0000 0.0000 x3
La1 0.0000 0.0000 0.2249 x3
La2 0.0000 0.0000 0.4419 x3
Ce1 0.0000 0.0000 0.8320 x3


*three*
Compound: CaLa2Ce
Source: the Alexandria database
Functional: PBE
Structure: relaxed

Properties
- N(E_F) (states/eV per cell) = 9.5
- magnetization (μB/f.u.) = 1.04

a b c (Å): 5.302 5.302 5.111
angles (deg): 90.00 90.00 90.00
Space group P4/mmm (No. 123)
Unique sites:
Ca1 0.000 0.000 0.000 x1
La1 0.000 0.500 0.500 x2
Ce1 0.500 0.500 0.000 x1


*four*
Compound: CaLa2Ce
Source: the Alexandria database
Functional: PBE
Structure: relaxed

Properties
- N(E_F) (states/eV per cell) = 6.1
- magnetization (μB/f.u.) = 0.00

a b c (Å): 3.632 3.632 10.702
angles (deg): 90.00 90.00 90.00
Space group P4/mmm (No. 123)
Unique sites:
Ca1 0.000 0.000 0.000 x1
La1 0.500 0.500 0.279 x2
Ce1 0.000 0.000 0.500 x1


Which structure wins on stability? *four* wins.


*one*
Compound: CaLaCe
Source: the Alexandria database
Functional: PBE
Structure: relaxed

Properties
- N(E_F) (states/eV per cell) = 14.3
- magnetization (μB/f.u.) = 1.01

a b c (Å): 3.634 3.634 16.208
angles (deg): 90.00 90.00 90.00
Space group I4mm (No. 107)
Unique sites:
Ca1 0.000 0.000 0.000 x2
La1 0.000 0.000 0.682 x2
Ce1 0.000 0.000 0.330 x2


*two*
Compound: CaLaCe
Source: the Alexandria database
Functional: PBE
Structure: relaxed

Properties
- N(E_F) (states/eV per cell) = 39.3
- magnetization (μB/f.u.) = 0.00

a b c (Å): 3.8324 3.8324 51.6015
angles (deg): 90.00 90.00 120.00
Space group R-3m (No. 166, hexagonal axes)
Unique sites:
Ca1 0.0000 0.0000 0.1353 x6
La1 0.0000 0.0000 0.2611 x6
Ce1 0.0000 0.0000 0.3487 x6


*three*
Compound: CaLaCe
Source: the Alexandria database
Functional: PBE
Structure: relaxed

Properties
- N(E_F) (states/eV per cell) = 7.3
- magnetization (μB/f.u.) = 1.10

a b c (Å): 3.6588 3.6588 9.2396
angles (deg): 90.00 90.00 120.00
Space group P3m1 (No. 156)
Unique sites:
Ca1 0.0000 0.0000 0.0000 x1
La1 0.6667 0.3333 0.3558 x1
Ce1 0.3333 0.6667 0.6628 x1


Which structure wins on stability? *two* wins.


*one*
Compound: CaCeLu2
Source: the Alexandria database
Functional: PBE
Structure: relaxed

Properties
- N(E_F) (states/eV per cell) = 22.7
- magnetization (μB/f.u.) = 0.43

a b c (Å): 3.4665 3.4665 36.5625
angles (deg): 90.00 90.00 120.00
Space group R-3m (No. 166, hexagonal axes)
Unique sites:
Ca1 0.0000 0.0000 0.0000 x3
Ce1 0.0000 0.0000 0.5000 x3
Lu1 0.0000 0.0000 0.0913 x6


*two*
Compound: CaCeLu2
Source: the Alexandria database
Functional: PBE
Structure: relaxed

Properties
- N(E_F) (states/eV per cell) = 31.8
- magnetization (μB/f.u.) = 1.41

a b c (Å): 8.026 8.026 8.026
angles (deg): 90.00 90.00 90.00
Space group Fm-3m (No. 225)
Unique sites:
Ca1 0.000 0.000 0.000 x4
Ce1 0.000 0.000 0.500 x4
Lu1 0.250 0.250 0.250 x8


Which structure wins on stability? *one* wins.